Entry 1:
# LiLaSnTe2

An optimized crystal structure of LiLaSnTe2 (GGA-PBEsol, Alexandria).

a b c (Å): 5.011 5.011 5.255
angles (deg): 90.00 90.00 90.00
Positions (direct):
1 La 0.000 0.000 0.500
2 Te 0.000 0.500 0.000
3 Te 0.500 0.000 0.000
4 Sn 0.500 0.500 0.500
5 Li 0.000 0.000 0.000

* DFT total energy: -4.065 eV per atom
* M_tot: 0.000 μB per atom
* ΔE_f (raw): -0.340 eV/atom

***

Entry 2:
# Be2CuOsPd

An optimized crystal structure of Be2CuOsPd (GGA-PBEsol, Alexandria).

a b c (Å): 3.953 3.953 4.452
angles (deg): 90.00 90.00 90.00
Positions (direct):
1 Be 0.000 0.500 0.000
2 Be 0.500 0.000 0.000
3 Os 0.500 0.500 0.500
4 Pd 0.000 0.000 0.000
5 Cu 0.000 0.000 0.500

* DFT total energy: -4.920 eV per atom
* M_tot: 0.116 μB per atom
* calculated formation energy: 1182.1 meV/atom